# 1
The following is a SCAN calculation of a crystal of Al5Zn3 relaxed with PBEsol, from Alexandria.

Cell and atoms, written as extended XYZ:
```
8
Lattice="3.889 -3.931 0.000 3.889 3.931 0.000 0.000 0.000 4.069" Properties=species:S:1:pos:R:3 pbc="T T T"
Al 0.000 0.000 0.000
Al 1.944 1.965 0.000
Al 1.979 0.000 2.034
Al 1.944 -1.965 0.000
Al 5.798 0.000 2.034
Zn 3.889 1.988 2.034
Zn 3.889 0.000 0.000
Zn 3.889 -1.988 2.034
```

**Density of states at the Fermi level**: 0.34 states/eV per atom
**Spin magnetization**: 0.01 μB per formula unit
**Relative energy among the computed polymorphs**: 0.000 kcal/mol of atoms
**E_tot**: -9.905 eV per atom

***

# 2
The following is a SCAN calculation of a crystal of Y2IrPb relaxed with PBEsol, from Alexandria.

Cell and atoms, written as extended XYZ:
```
4
Lattice="0.000 3.503 3.503 3.503 0.000 3.503 3.503 3.503 0.000" Properties=species:S:1:pos:R:3 pbc="T T T"
Y 0.000 0.000 0.000
Y 1.751 1.751 1.751
Ir 3.503 3.503 3.503
Pb 5.254 5.254 5.254
```

**Density of states at the Fermi level**: 0.84 states/eV per atom
**Spin magnetization**: 0.00 μB per formula unit
**E_tot**: -50.975 eV per atom

***

# 3
The following is a SCAN calculation of a crystal of SrLi2HfP relaxed with PBEsol, from Alexandria.

Cell and atoms, written as extended XYZ:
```
5
Lattice="4.341 0.000 0.000 0.000 4.341 0.000 0.000 0.000 5.315" Properties=species:S:1:pos:R:3 pbc="T T T"
Sr 0.000 0.000 0.000
Li 0.000 2.170 0.000
Li 2.170 0.000 0.000
Hf 2.170 2.170 2.657
P 0.000 0.000 2.657
```

**Density of states at the Fermi level**: 0.76 states/eV per atom
**Spin magnetization**: 0.59 μB per formula unit
**E_tot**: -18.998 eV per atom

***

# 4
The following is a SCAN calculation of a crystal of BeRe2W relaxed with PBEsol, from Alexandria.

Cell and atoms, written as extended XYZ:
```
4
Lattice="2.660 -4.269 0.000 2.660 4.269 0.000 -1.094 0.000 2.446" Properties=species:S:1:pos:R:3 pbc="T T T"
Be 0.000 0.000 0.000
Re 0.783 2.135 1.223
Re 0.783 -2.135 1.223
W 2.660 0.000 0.000
```

**Density of states at the Fermi level**: 0.79 states/eV per atom
**Spin magnetization**: 0.00 μB per formula unit
**E_tot**: -53.910 eV per atom